(1)
Material: Mg3Be
Method: DFT, PBE
State: optimized geometry

Cell lengths 3.1087, 3.1087, 9.1521 Å; angles 90.00, 90.00, 120.00 degrees
Fractional coordinates of all 4 atoms:
Mg 0.0000 0.0000 0.0000
Mg 0.3333 0.6667 0.2860
Mg 0.3333 0.6667 0.7140
Be 0.0000 0.0000 0.5000

Summary:
DFT total energy   -7.5 eV/cell
Crystal system   hexagonal
Symmetry   P-6m2

***

(2)
Material: MgBe2
Method: DFT, PBE
State: optimized geometry

Cell lengths 4.3735, 4.3735, 2.6394 Å; angles 90.00, 90.00, 90.00 degrees
Fractional coordinates of all 3 atoms:
Mg 0.0000 0.0000 0.0000
Be 0.0000 0.5000 0.5000
Be 0.5000 0.0000 0.5000

Summary:
DFT total energy   -6.1 eV/cell
Crystal system   tetragonal
Symmetry   P4/mmm